Record 1
Crystalline CoCuNi2 at its relaxed geometry, computed with GGA-PBEsol.

Output
E in eV/cell: -48.29

a = 3.4877 Å, b = 3.4877 Å, c = 6.9431 Å
α = 90.00°, β = 90.00°, γ = 90.00°
Atoms (fractional coordinates):
Co1 0.0000 0.0000 0.0000
Co2 0.5000 0.5000 0.5000
Cu1 0.0000 0.0000 0.5000
Cu2 0.5000 0.5000 0.0000
Ni1 0.0000 0.5000 0.2500
Ni2 0.0000 0.5000 0.7500
Ni3 0.5000 0.0000 0.2500
Ni4 0.5000 0.0000 0.7500

=====

Record 2
Crystalline HgBH2Ir at its relaxed geometry, computed with GGA-PBEsol.

Output
E in eV/cell: -19.33

a = 3.7031 Å, b = 3.7031 Å, c = 4.1432 Å
α = 90.00°, β = 90.00°, γ = 90.00°
Atoms (fractional coordinates):
Hg1 0.0000 0.0000 0.0000
B1 0.5000 0.5000 0.5000
H1 0.0000 0.5000 0.5000
H2 0.5000 0.0000 0.5000
Ir1 0.5000 0.5000 0.0000

=====

Record 3
Crystalline TaInAg at its relaxed geometry, computed with GGA-PBEsol.

Output
E in eV/cell: -64.62

a = 6.4153 Å, b = 6.4153 Å, c = 6.4153 Å
α = 90.00°, β = 90.00°, γ = 90.00°
Atoms (fractional coordinates):
Ta1 0.0000 0.0000 0.0000
Ta2 0.0000 0.5000 0.5000
Ta3 0.5000 0.0000 0.5000
Ta4 0.5000 0.5000 0.0000
In1 0.2500 0.2500 0.7500
In2 0.2500 0.7500 0.2500
In3 0.7500 0.2500 0.2500
In4 0.7500 0.7500 0.7500
Ag1 0.2500 0.2500 0.2500
Ag2 0.2500 0.7500 0.7500
Ag3 0.7500 0.2500 0.7500
Ag4 0.7500 0.7500 0.2500

=====

The highest E belongs to which entry? HgBH2Ir

=====

E of number 3 (TaInAg)? -64.62 eV/cell